(1)
DFT (PBE) results for crystalline TbCeCuPt at its relaxed geometry.

The calculation puts the distance to the lowest polymorph of the same formula at 0.0000 eV per atom. The formation energy comes out at -676 meV/atom. The value obtained for the energy is -46.81 eV per cell.

The space group is Amm2 (No. 38) and the conventional cell measures 4.544, 3.789 and 10.554 Å, with angles of 90.00, 90.00 and 90.00 degrees. The inequivalent atoms are Tb at (0.000, 0.000, 0.000), Ce at (0.500, 0.000, 0.722), Cu at (0.000, 0.000, 0.281) and Pt at (0.500, 0.000, 0.440).



(2)
DFT (PBE) results for crystalline CeUCuPt at its relaxed geometry.

The formation energy comes out at -397 meV/atom. The value obtained for the energy is -115.79 eV per cell.

The space group is F-43m (No. 216) and the conventional cell measures 6.712, 6.712 and 6.712 Å, with angles of 90.00, 90.00 and 90.00 degrees. The inequivalent atoms are Ce at (0.000, 0.000, 0.000), U at (0.250, 0.250, 0.250), Cu at (0.250, 0.250, 0.750) and Pt at (0.000, 0.000, 0.500).



(3)
DFT (PBE) results for crystalline CeZn2CuPt4 at its relaxed geometry.

The formation energy comes out at -606 meV/atom. The value obtained for the energy is -124.76 eV per cell.

The space group is R-3m (No. 166, hexagonal axes) and the conventional cell measures 4.3247, 4.3247 and 25.0857 Å, with angles of 90.00, 90.00 and 120.00 degrees. The inequivalent atoms are Ce at (0.0000, 0.0000, 0.0000), Zn at (0.0000, 0.0000, 0.2385), Cu at (0.0000, 0.0000, 0.5000), Pt at (0.0000, 0.0000, 0.1294) and Pt at (0.0000, 0.0000, 0.3976).



Question: Which value of energy does entry 2 give?
Answer: -115.79 eV per cell